! Pa3AsSe6 (GGA-PBE, relaxed); values from VASP
! Final energy ... -6.554 eV/atom
! D(E_F) ... 18.51 states/eV/cell
! Formation energy (no corrections) ... -1149 meV per atom
&SYSTEM
  ibrav = 0, nat = 20, ntyp = 3
/
ATOMIC_SPECIES
Pa 231.04 Pa.upf
As 74.92 As.upf
Se 78.96 Se.upf
ATOMIC_POSITIONS crystal
Pa 0.101 0.899 0.500
Pa 0.221 0.443 0.588
Pa 0.443 0.221 0.088
Pa 0.557 0.779 0.588
Pa 0.779 0.557 0.088
Pa 0.899 0.101 0.000
As 0.473 0.527 0.889
As 0.527 0.473 0.389
Se 0.010 0.589 0.372
Se 0.137 0.198 0.288
Se 0.198 0.137 0.788
Se 0.257 0.743 0.755
Se 0.366 0.634 0.273
Se 0.411 0.990 0.372
Se 0.589 0.010 0.872
Se 0.634 0.366 0.773
Se 0.743 0.257 0.255
Se 0.802 0.863 0.288
Se 0.863 0.802 0.788
Se 0.990 0.411 0.872
CELL_PARAMETERS angstrom
5.474 -7.119 0.000
5.474 7.119 0.000
0.000 0.000 6.953